Entry 1:
The following is a DFT calculation (meta-GGA SCAN) of Nb3Co5B2 at its PBEsol-relaxed geometry.

Cell: 8.3537 8.3537 3.2091 Å, 90.00 90.00 90.00°
Atoms (fractional coordinates):
Nb 0.0000 0.0000 0.0000
Nb 0.1745 0.3255 0.0000
Nb 0.3255 0.8255 0.0000
Nb 0.5000 0.5000 0.0000
Nb 0.6745 0.1745 0.0000
Nb 0.8255 0.6745 0.0000
Co 0.0000 0.5000 0.5000
Co 0.0703 0.7792 0.5000
Co 0.2208 0.0703 0.5000
Co 0.2792 0.5703 0.5000
Co 0.4297 0.2792 0.5000
Co 0.5000 0.0000 0.5000
Co 0.5703 0.7208 0.5000
Co 0.7208 0.4297 0.5000
Co 0.7792 0.9297 0.5000
Co 0.9297 0.2208 0.5000
B 0.1191 0.6191 0.0000
B 0.3809 0.1191 0.0000
B 0.6191 0.8809 0.0000
B 0.8809 0.3809 0.0000

Spin magnetization   0.000 μB per formula unit
V   11.20 A^3/atom
Calculated formation energy   -20.9 kJ/mol of atoms

***

Entry 2:
The following is a DFT calculation (meta-GGA SCAN) of NdCo12B6 at its PBEsol-relaxed geometry.

Cell: 5.9019 5.9019 5.9019 Å, 104.03 104.03 104.03°
Atoms (fractional coordinates):
Nd 0.0000 0.0000 0.0000
Co 0.1331 0.5000 0.8669
Co 0.1331 0.8669 0.5000
Co 0.1867 0.4579 0.4579
Co 0.4579 0.1867 0.4579
Co 0.4579 0.4579 0.1867
Co 0.5000 0.1331 0.8669
Co 0.5000 0.8669 0.1331
Co 0.5421 0.5421 0.8133
Co 0.5421 0.8133 0.5421
Co 0.8133 0.5421 0.5421
Co 0.8669 0.1331 0.5000
Co 0.8669 0.5000 0.1331
B 0.2320 0.2320 0.6744
B 0.2320 0.6744 0.2320
B 0.3256 0.7680 0.7680
B 0.6744 0.2320 0.2320
B 0.7680 0.3256 0.7680
B 0.7680 0.7680 0.3256

Spin magnetization   8.882 μB per formula unit
V   9.65 A^3/atom
Calculated formation energy   -25.0 kJ/mol of atoms